(1)
{"formula": "NaLaFeO4", "functional": "GGA+U", "state": "optimized geometry", "lattice_angstrom": [[3.867, 0.000, 0.000], [0.000, 3.867, 0.000], [-1.933, -1.933, 6.037]], "species": ["Na", "O", "O", "O", "O", "Fe", "La"], "fractional_positions": [[0.643, 0.643, 0.286], [0.839, 0.839, 0.679], [0.166, 0.166, 0.331], [0.994, 0.494, 0.988], [0.494, 0.994, 0.988], [0.010, 0.010, 0.020], [0.354, 0.354, 0.709]], "final_energy_ev_per_atom": -6.611}

(2)
{"formula": "NaSrLaFeO6", "functional": "GGA+U", "state": "optimized geometry", "lattice_angstrom": [[-0.775, -5.750, -1.075], [-5.141, -1.931, -2.159], [-0.320, -1.944, -5.562]], "species": ["O", "O", "O", "O", "O", "O", "Fe", "Sr", "La", "Na"], "fractional_positions": [[0.776, 0.224, 0.776], [0.224, 0.224, 0.776], [0.776, 0.776, 0.224], [0.224, 0.776, 0.224], [0.224, 0.776, 0.776], [0.776, 0.224, 0.224], [0.000, 0.000, 0.000], [0.250, 0.250, 0.250], [0.500, 0.500, 0.500], [0.750, 0.750, 0.750]], "final_energy_ev_per_atom": -6.157}

(3)
{"formula": "NaLaZrFeO6", "functional": "GGA+U", "state": "optimized geometry", "lattice_angstrom": [[-0.404, -0.359, 5.635], [1.367, 4.447, 3.225], [-4.046, 2.862, 2.736]], "species": ["La", "O", "O", "O", "O", "O", "O", "Na", "Zr", "Fe"], "fractional_positions": [[0.250, 0.250, 0.250], [0.758, 0.242, 0.242], [0.242, 0.242, 0.758], [0.758, 0.758, 0.242], [0.242, 0.758, 0.758], [0.242, 0.758, 0.242], [0.758, 0.242, 0.758], [0.750, 0.750, 0.750], [0.500, 0.500, 0.500], [0.000, 0.000, 0.000]], "final_energy_ev_per_atom": -7.385}